First-principles (meta-GGA SCAN) data for a crystal of SiMoIr2 relaxed with PBEsol, as listed in the Alexandria database. Values from VASP.

Quantum ESPRESSO input file:
```
&SYSTEM
  ibrav = 0, nat = 4, ntyp = 3
/
ATOMIC_SPECIES
Mo 95.94 Mo.upf
Ir 192.22 Ir.upf
Si 28.09 Si.upf
CELL_PARAMETERS angstrom
2.7961 0.0000 0.0000
0.0000 2.7961 0.0000
0.0000 0.0000 6.9949
ATOMIC_POSITIONS crystal
Mo 0.5000 0.5000 0.0000
Ir 0.0000 0.0000 0.7143
Ir 0.0000 0.0000 0.2857
Si 0.5000 0.5000 0.5000
```

Summary:
Symmetry ... No. 123
Fermi-level density of states ... 0.39 states/eV per atom
Volume ... 55 Å³ per cell
Formation energy from raw total energies ... -2.2 eV/f.u.
Magnetic moment ... 0.000 μB per formula unit

=====

First-principles (meta-GGA SCAN) data for a crystal of SiMoIr2 relaxed with PBEsol, as listed in the Alexandria database. Values from VASP.

Quantum ESPRESSO input file:
```
&SYSTEM
  ibrav = 0, nat = 4, ntyp = 3
/
ATOMIC_SPECIES
Ir 192.22 Ir.upf
Mo 95.94 Mo.upf
Si 28.09 Si.upf
CELL_PARAMETERS angstrom
2.7255 0.0000 0.0000
0.0000 4.6229 -0.0008
0.0000 -1.5291 4.4463
ATOMIC_POSITIONS crystal
Ir 0.0000 0.0000 0.0000
Ir 0.5000 0.5000 0.0000
Mo 0.5000 0.0000 0.5000
Si 0.0000 0.5000 0.5000
```

Summary:
Symmetry ... No. 10
Fermi-level density of states ... 0.91 states/eV per atom
Volume ... 56 Å³ per cell
Formation energy from raw total energies ... -0.5 eV/f.u.
Magnetic moment ... 0.000 μB per formula unit

=====

First-principles (meta-GGA SCAN) data for a crystal of SiMoIr2 relaxed with PBEsol, as listed in the Alexandria database. Values from VASP.

Quantum ESPRESSO input file:
```
&SYSTEM
  ibrav = 0, nat = 4, ntyp = 3
/
ATOMIC_SPECIES
Ir 192.22 Ir.upf
Mo 95.94 Mo.upf
Si 28.09 Si.upf
CELL_PARAMETERS angstrom
2.7187 0.0000 0.0000
0.0000 4.5721 0.0000
0.0000 0.0000 4.5721
ATOMIC_POSITIONS crystal
Ir 0.0000 0.0000 0.5000
Ir 0.0000 0.5000 0.0000
Mo 0.5000 0.5000 0.5000
Si 0.5000 0.0000 0.0000
```

Summary:
Symmetry ... No. 123
Fermi-level density of states ... 0.71 states/eV per atom
Volume ... 57 Å³ per cell
Formation energy from raw total energies ... -0.2 eV/f.u.
Magnetic moment ... 0.000 μB per formula unit

=====

First-principles (meta-GGA SCAN) data for a crystal of SiMo2Ir relaxed with PBEsol, as listed in the Alexandria database. Values from VASP.

Quantum ESPRESSO input file:
```
&SYSTEM
  ibrav = 0, nat = 4, ntyp = 3
/
ATOMIC_SPECIES
Ir 192.22 Ir.upf
Mo 95.94 Mo.upf
Si 28.09 Si.upf
CELL_PARAMETERS angstrom
-2.4152 1.0047 0.8927
0.2965 -2.2717 3.3589
2.4280 3.7645 2.3317
ATOMIC_POSITIONS crystal
Ir 0.5000 0.5000 0.5000
Mo 0.0000 0.0000 0.7596
Mo 0.0000 0.0000 0.2404
Si 0.5000 0.5000 0.0000
```

Summary:
Symmetry ... No. 47
Fermi-level density of states ... 0.49 states/eV per atom
Volume ... 57 Å³ per cell
Formation energy from raw total energies ... -1.2 eV/f.u.
Magnetic moment ... 0.000 μB per formula unit

=====

First-principles (meta-GGA SCAN) data for a crystal of SrMo2Ir relaxed with PBEsol, as listed in the Alexandria database. Values from VASP.

Quantum ESPRESSO input file:
```
&SYSTEM
  ibrav = 0, nat = 4, ntyp = 3
/
ATOMIC_SPECIES
Ir 192.22 Ir.upf
Mo 95.94 Mo.upf
Sr 87.62 Sr.upf
CELL_PARAMETERS angstrom
-0.5309 -2.7242 0.5991
1.9303 -1.9904 -0.6119
4.5884 -0.3727 9.0994
ATOMIC_POSITIONS crystal
Ir 0.2602 0.2602 0.2195
Mo 0.9962 0.9962 0.0115
Mo 0.7403 0.7403 0.7791
Sr 0.5034 0.5034 0.4898
```

Summary:
Symmetry ... No. 160
Fermi-level density of states ... 0.78 states/eV per atom
Volume ... 70 Å³ per cell
Excess energy over the best structure of this formula in the dataset ... 37.7 meV/atom
Magnetic moment ... 0.000 μB per formula unit
Formation enthalpy at 0 K ... 0.78 eV/atom

=====

First-principles (meta-GGA SCAN) data for a crystal of SrMoIr2 relaxed with PBEsol, as listed in the Alexandria database. Values from VASP.

Quantum ESPRESSO input file:
```
&SYSTEM
  ibrav = 0, nat = 4, ntyp = 3
/
ATOMIC_SPECIES
Ir 192.22 Ir.upf
Mo 95.94 Mo.upf
Sr 87.62 Sr.upf
CELL_PARAMETERS angstrom
-1.1466 1.2672 2.2980
3.0154 -2.5963 2.9362
2.7377 4.0284 -0.8555
ATOMIC_POSITIONS crystal
Ir 0.0000 0.5000 0.0000
Ir 0.0000 0.0000 0.5000
Mo 0.5000 0.0000 0.0000
Sr 0.5000 0.5000 0.5000
```

Summary:
Symmetry ... No. 65
Fermi-level density of states ... 0.68 states/eV per atom
Volume ... 69 Å³ per cell
Excess energy over the best structure of this formula in the dataset ... 63.9 meV/atom
Magnetic moment ... 0.000 μB per formula unit
Formation enthalpy at 0 K ... 0.40 eV/atom